## CeErTl2S4 (PBE)

Data for an optimized crystal structure of CeErTl2S4.

a b c (Å): 7.1020 4.0959 7.8651
angles (deg): 90.00 107.29 90.00
Atoms (fractional coordinates):
Ce1 0.0000 0.0000 0.0000
Er1 0.5000 0.5000 0.0000
Tl1 0.0000 0.5000 0.5000
Tl2 0.5000 0.0000 0.5000
S1 0.2426 0.5000 0.2002
S2 0.2774 0.0000 0.8038
S3 0.7226 0.0000 0.1962
S4 0.7574 0.5000 0.7998

Summary:
crystal system = monoclinic
formation energy (no corrections) = -11.49 eV per formula unit


## CeEr2Tl3S6 (PBE)

Data for an optimized crystal structure of CeEr2Tl3S6.

a b c (Å): 7.0426 7.0426 7.8729
angles (deg): 98.58 98.58 119.98
Atoms (fractional coordinates):
Ce1 0.0000 0.0000 0.0000
Er1 0.3334 0.6666 0.0000
Er2 0.6666 0.3334 0.0000
Tl1 0.1659 0.8341 0.5000
Tl2 0.5000 0.5000 0.5000
Tl3 0.8341 0.1659 0.5000
S1 0.0660 0.4101 0.1981
S2 0.2785 0.2785 0.8038
S3 0.4101 0.0660 0.1981
S4 0.5899 0.9340 0.8019
S5 0.7215 0.7215 0.1962
S6 0.9340 0.5899 0.8019

Summary:
crystal system = monoclinic
formation energy (no corrections) = -17.44 eV per formula unit


## Ce3ErTl4S8 (PBE)

Data for an optimized crystal structure of Ce3ErTl4S8.

a b c (Å): 8.8901 8.8901 8.8901
angles (deg): 55.58 55.58 55.58
Atoms (fractional coordinates):
Ce1 0.0000 0.5000 0.5000
Ce2 0.5000 0.0000 0.5000
Ce3 0.5000 0.5000 0.0000
Er1 0.0000 0.0000 0.0000
Tl1 0.0000 0.0000 0.5000
Tl2 0.0000 0.5000 0.0000
Tl3 0.5000 0.0000 0.0000
Tl4 0.5000 0.5000 0.5000
S1 0.2282 0.2282 0.7420
S2 0.2282 0.7420 0.2282
S3 0.2580 0.7718 0.7718
S4 0.2658 0.2658 0.2658
S5 0.7342 0.7342 0.7342
S6 0.7420 0.2282 0.2282
S7 0.7718 0.2580 0.7718
S8 0.7718 0.7718 0.2580

Summary:
crystal system = trigonal
formation energy (no corrections) = -22.67 eV per formula unit


## Ce2ErTl3S6 (PBE)

Data for an optimized crystal structure of Ce2ErTl3S6.

a b c (Å): 7.1529 7.1529 7.8641
angles (deg): 98.72 98.72 119.97
Atoms (fractional coordinates):
Ce1 0.1667 0.8333 0.0000
Ce2 0.8333 0.1667 0.0000
Er1 0.5000 0.5000 0.0000
Tl1 0.0000 0.0000 0.5000
Tl2 0.3336 0.6664 0.5000
Tl3 0.6664 0.3336 0.5000
S1 0.1106 0.4337 0.8015
S2 0.2435 0.2435 0.2005
S3 0.4337 0.1106 0.8015
S4 0.5663 0.8894 0.1985
S5 0.7565 0.7565 0.7995
S6 0.8894 0.5663 0.1985

Summary:
crystal system = monoclinic
formation energy (no corrections) = -17.09 eV per formula unit


## CeEr3Tl4S8 (PBE)

Data for an optimized crystal structure of CeEr3Tl4S8.

a b c (Å): 8.8574 8.8574 8.8574
angles (deg): 54.39 54.39 54.39
Atoms (fractional coordinates):
Ce1 0.0000 0.0000 0.0000
Er1 0.0000 0.5000 0.5000
Er2 0.5000 0.0000 0.5000
Er3 0.5000 0.5000 0.0000
Tl1 0.0000 0.0000 0.5000
Tl2 0.0000 0.5000 0.0000
Tl3 0.5000 0.0000 0.0000
Tl4 0.5000 0.5000 0.5000
S1 0.2373 0.2373 0.7232
S2 0.2373 0.7232 0.2373
S3 0.2685 0.2685 0.2685
S4 0.2768 0.7627 0.7627
S5 0.7232 0.2373 0.2373
S6 0.7315 0.7315 0.7315
S7 0.7627 0.2768 0.7627
S8 0.7627 0.7627 0.2768

Summary:
crystal system = trigonal
formation energy (no corrections) = -23.37 eV per formula unit


## Ce4Er3TmS8 (PBE)

Data for an optimized crystal structure of Ce4Er3TmS8.

a b c (Å): 7.9404 7.9404 7.9404
angles (deg): 59.06 59.06 59.06
Atoms (fractional coordinates):
Ce1 0.0000 0.0000 0.0000
Ce2 0.0000 0.5000 0.5000
Ce3 0.5000 0.0000 0.5000
Ce4 0.5000 0.5000 0.0000
Er1 0.0000 0.0000 0.5000
Er2 0.0000 0.5000 0.0000
Er3 0.5000 0.0000 0.0000
Tm1 0.5000 0.5000 0.5000
S1 0.2448 0.2448 0.2448
S2 0.2456 0.7441 0.7441
S3 0.2559 0.2559 0.7544
S4 0.2559 0.7544 0.2559
S5 0.7441 0.2456 0.7441
S6 0.7441 0.7441 0.2456
S7 0.7544 0.2559 0.2559
S8 0.7552 0.7552 0.7552

Summary:
crystal system = trigonal
formation energy (no corrections) = -32.19 eV per formula unit


## Ce3Er3TmS8 (PBE)

Data for an optimized crystal structure of Ce3Er3TmS8.

a b c (Å): 7.9438 7.9438 7.9438
angles (deg): 58.97 58.97 58.97
Atoms (fractional coordinates):
Ce1 0.0000 0.5000 0.5000
Ce2 0.5000 0.0000 0.5000
Ce3 0.5000 0.5000 0.0000
Er1 0.0000 0.0000 0.5000
Er2 0.0000 0.5000 0.0000
Er3 0.5000 0.0000 0.0000
Tm1 0.5000 0.5000 0.5000
S1 0.2442 0.7455 0.7455
S2 0.2448 0.2448 0.2448
S3 0.2545 0.2545 0.7558
S4 0.2545 0.7558 0.2545
S5 0.7455 0.2442 0.7455
S6 0.7455 0.7455 0.2442
S7 0.7552 0.7552 0.7552
S8 0.7558 0.2545 0.2545

Summary:
crystal system = trigonal
formation energy (no corrections) = -30.60 eV per formula unit


## Ce2ErTmS4 (PBE)

Data for an optimized crystal structure of Ce2ErTmS4.

a b c (Å): 6.7693 3.9022 6.9274
angles (deg): 90.00 108.99 90.00
Atoms (fractional coordinates):
Ce1 0.0000 0.0000 0.0000
Ce2 0.5000 0.5000 0.0000
Er1 0.0000 0.5000 0.5000
Tm1 0.5000 0.0000 0.5000
S1 0.2455 0.0000 0.7335
S2 0.2568 0.5000 0.2672
S3 0.7432 0.5000 0.7328
S4 0.7545 0.0000 0.2665

Summary:
crystal system = monoclinic
formation energy (no corrections) = -16.08 eV per formula unit


## Ce2ErTm3S6 (PBE)

Data for an optimized crystal structure of Ce2ErTm3S6.

a b c (Å): 8.7570 8.7570 7.8738
angles (deg): 103.64 103.64 25.61
Atoms (fractional coordinates):
Ce1 0.1677 0.1677 0.3361
Ce2 0.8323 0.8323 0.6639
Er1 0.5000 0.5000 0.0000
Tm1 0.1680 0.1680 0.8324
Tm2 0.5000 0.5000 0.5000
Tm3 0.8320 0.8320 0.1676
S1 0.0040 0.0040 0.7511
S2 0.3337 0.3337 0.9283
S3 0.3379 0.3379 0.4068
S4 0.6621 0.6621 0.5932
S5 0.6663 0.6663 0.0717
S6 0.9960 0.9960 0.2489

Summary:
crystal system = monoclinic
formation energy (no corrections) = -23.77 eV per formula unit


## Ce3ErTm3S8 (PBE)

Data for an optimized crystal structure of Ce3ErTm3S8.

a b c (Å): 7.9308 7.9308 7.9308
angles (deg): 58.90 58.90 58.90
Atoms (fractional coordinates):
Ce1 0.0000 0.5000 0.5000
Ce2 0.5000 0.0000 0.5000
Ce3 0.5000 0.5000 0.0000
Er1 0.5000 0.5000 0.5000
Tm1 0.0000 0.0000 0.5000
Tm2 0.0000 0.5000 0.0000
Tm3 0.5000 0.0000 0.0000
S1 0.2415 0.7469 0.7469
S2 0.2442 0.2442 0.2442
S3 0.2531 0.2531 0.7585
S4 0.2531 0.7585 0.2531
S5 0.7469 0.2415 0.7469
S6 0.7469 0.7469 0.2415
S7 0.7558 0.7558 0.7558
S8 0.7585 0.2531 0.2531

Summary:
crystal system = trigonal
formation energy (no corrections) = -30.51 eV per formula unit


## Ce4ErTm3S8 (PBE)

Data for an optimized crystal structure of Ce4ErTm3S8.

a b c (Å): 7.9349 7.9349 7.9349
angles (deg): 58.97 58.97 58.97
Atoms (fractional coordinates):
Ce1 0.0000 0.0000 0.0000
Ce2 0.0000 0.5000 0.5000
Ce3 0.5000 0.0000 0.5000
Ce4 0.5000 0.5000 0.0000
Er1 0.5000 0.5000 0.5000
Tm1 0.0000 0.0000 0.5000
Tm2 0.0000 0.5000 0.0000
Tm3 0.5000 0.0000 0.0000
S1 0.2433 0.7449 0.7449
S2 0.2441 0.2441 0.2441
S3 0.2551 0.2551 0.7567
S4 0.2551 0.7566 0.2551
S5 0.7449 0.2433 0.7449
S6 0.7449 0.7449 0.2434
S7 0.7559 0.7559 0.7559
S8 0.7567 0.2551 0.2551

Summary:
crystal system = trigonal
formation energy (no corrections) = -32.12 eV per formula unit


## CeErTm4S8 (PBE)

Data for an optimized crystal structure of CeErTm4S8.

a b c (Å): 8.0232 8.0232 8.0232
angles (deg): 59.91 59.91 59.91
Atoms (fractional coordinates):
Ce1 0.0000 0.0000 0.0000
Er1 0.6254 0.6254 0.6254
Tm1 0.1259 0.6253 0.6253
Tm2 0.2506 0.2506 0.2506
Tm3 0.6253 0.1259 0.6253
Tm4 0.6253 0.6253 0.1259
S1 0.3818 0.3818 0.8544
S2 0.3818 0.8544 0.3818
S3 0.3828 0.3828 0.3828
S4 0.4132 0.8636 0.8636
S5 0.8544 0.3818 0.3818
S6 0.8624 0.8624 0.8624
S7 0.8636 0.4132 0.8636
S8 0.8636 0.8636 0.4132

Summary:
crystal system = trigonal
formation energy (no corrections) = -26.61 eV per formula unit